The following is a DFT calculation (GGA-PBE) of CeCdGaPd3 after structural relaxation.

abc: 7.067 7.067 5.829
angles: 90.00 90.00 120.69
Element x y z (fractional)
Ce  0.186  0.814  0.750
Ce  0.814  0.186  0.250
Cd  0.436  0.564  0.750
Cd  0.564  0.436  0.250
Ga  0.130  0.870  0.250
Ga  0.870  0.130  0.750
Pd  0.198  0.198  0.000
Pd  0.198  0.198  0.500
Pd  0.332  0.668  0.250
Pd  0.668  0.332  0.750
Pd  0.802  0.802  0.000
Pd  0.802  0.802  0.500

- Electronic total energy: -4.65 eV per atom
- Formation energy from the elements: -0.412 eV per atom